# Pu3Pd2Au9 | the Alexandria database | PBE | optimized geometry
# **Space-group type**: No. 71
data_Pu3Pd2Au9
_chemical_formula_sum 'Pu3 Pd2 Au9'
_space_group_name_H-M_alt 'P 1'
_space_group_IT_number 1
_space_group_name_Hall 'P 1'
_cell_length_a 4.713
_cell_length_b 8.188
_cell_length_c 8.188
_cell_angle_alpha 79.09
_cell_angle_beta 73.28
_cell_angle_gamma 73.28
loop_
_atom_site_label
_atom_site_fract_x
_atom_site_fract_y
_atom_site_fract_z
Pu1 0.000 0.000 0.000
Pu2 0.714 0.286 0.286
Pu3 0.286 0.714 0.714
Pd1 0.500 0.355 0.645
Pd2 0.500 0.645 0.355
Au1 0.000 0.500 0.500
Au2 0.641 0.991 0.727
Au3 0.359 0.009 0.273
Au4 0.641 0.727 0.991
Au5 0.359 0.273 0.009
Au6 0.869 0.856 0.405
Au7 0.131 0.144 0.595
Au8 0.869 0.405 0.856
Au9 0.131 0.595 0.144

---

# Pu2PdAu6 | the Alexandria database | PBE | optimized geometry
# **Space-group type**: No. 12
data_Pu2PdAu6
_chemical_formula_sum 'Pu2 Pd1 Au6'
_space_group_name_H-M_alt 'P 1'
_space_group_IT_number 1
_space_group_name_Hall 'P 1'
_cell_length_a 4.151
_cell_length_b 6.848
_cell_length_c 7.030
_cell_angle_alpha 107.41
_cell_angle_beta 107.17
_cell_angle_gamma 90.00
loop_
_atom_site_label
_atom_site_fract_x
_atom_site_fract_y
_atom_site_fract_z
Pu1 0.945 0.172 0.890
Pu2 0.055 0.828 0.110
Pd1 0.500 0.500 0.000
Au1 0.382 0.812 0.764
Au2 0.618 0.188 0.236
Au3 0.725 0.832 0.450
Au4 0.165 0.507 0.331
Au5 0.275 0.168 0.550
Au6 0.835 0.493 0.669

---

# PuPd6Au8 | the Alexandria database | PBE | optimized geometry
# **Space-group type**: No. 147
data_PuPd6Au8
_chemical_formula_sum 'Pu1 Pd6 Au8'
_space_group_name_H-M_alt 'P 1'
_space_group_IT_number 1
_space_group_name_Hall 'P 1'
_cell_length_a 4.931
_cell_length_b 8.128
_cell_length_c 8.128
_cell_angle_alpha 120.00
_cell_angle_beta 90.00
_cell_angle_gamma 90.00
loop_
_atom_site_label
_atom_site_fract_x
_atom_site_fract_y
_atom_site_fract_z
Pu1 0.500 0.000 0.000
Pd1 0.583 0.679 0.138
Pd2 0.583 0.862 0.541
Pd3 0.583 0.459 0.321
Pd4 0.417 0.321 0.862
Pd5 0.417 0.138 0.459
Pd6 0.417 0.541 0.679
Au1 0.907 0.990 0.312
Au2 0.907 0.688 0.679
Au3 0.907 0.321 0.010
Au4 0.093 0.010 0.688
Au5 0.093 0.312 0.321
Au6 0.093 0.679 0.990
Au7 0.900 0.333 0.667
Au8 0.100 0.667 0.333

---

Number 1: E_form -347 meV/atom, total DFT energy (no corrections) -87.7 eV per formula unit. Number 2: E_form -292 meV/atom, total DFT energy (no corrections) -56.2 eV per formula unit. Number 3: E_form -50 meV/atom, total DFT energy (no corrections) -72.5 eV per formula unit.